Version 1
{
  "formula": "TcPb",
  "functional": "GGA-PBE",
  "state": "optimized geometry",
  "cell": [[5.1094, -1.5938, 0.0000], [5.1094, 1.5938, 0.0000], [-2.5708, 0.0000, 5.1244]],
  "species": ["Tc", "Tc", "Pb", "Pb"],
  "frac_coords": [[0.1708, 0.1708, 0.3271], [0.8292, 0.8292, 0.6729], [0.4050, 0.4050, 0.1828], [0.5950, 0.5950, 0.8172]],
  "m_tot_mub_per_cell": 0.0
}


Version 2
{
  "formula": "TcPb",
  "functional": "GGA-PBE",
  "state": "optimized geometry",
  "cell": [[5.1221, 0.0000, 0.0000], [-2.5610, 4.4358, 0.0000], [0.0000, 0.0000, 7.8219]],
  "species": ["Tc", "Tc", "Tc", "Tc", "Pb", "Pb", "Pb", "Pb"],
  "frac_coords": [[0.3333, 0.6667, 0.1013], [0.3333, 0.6667, 0.3987], [0.6667, 0.3333, 0.6013], [0.6667, 0.3333, 0.8987], [0.0000, 0.0000, 0.2500], [0.0000, 0.0000, 0.7500], [0.3333, 0.6667, 0.7500], [0.6667, 0.3333, 0.2500]],
  "m_tot_mub_per_cell": 0.0
}


Version 3
{
  "formula": "TcPb",
  "functional": "GGA-PBE",
  "state": "optimized geometry",
  "cell": [[3.0937, 0.0000, 0.0000], [-1.5469, 2.6793, 0.0000], [0.0000, 0.0000, 10.6712]],
  "species": ["Tc", "Tc", "Pb", "Pb"],
  "frac_coords": [[0.3333, 0.6667, 0.0860], [0.6667, 0.3333, 0.9140], [0.3333, 0.6667, 0.6758], [0.6667, 0.3333, 0.3242]],
  "m_tot_mub_per_cell": 0.0
}


Version 4
{
  "formula": "TcPb",
  "functional": "GGA-PBE",
  "state": "optimized geometry",
  "cell": [[-1.9958, 1.9958, 5.0019], [1.9958, -1.9958, 5.0019], [1.9958, 1.9958, -5.0019]],
  "species": ["Tc", "Tc", "Pb", "Pb"],
  "frac_coords": [[0.3750, 0.6250, 0.7500], [0.6250, 0.3750, 0.2500], [0.1250, 0.8750, 0.2500], [0.8750, 0.1250, 0.7500]],
  "m_tot_mub_per_cell": 1.7
}


Of them, the most stable is version 3 and the least stable is version 2.